DFT (PBE with a Hubbard U) results for an optimized crystal structure of CaCo6O2F10.

Cell: 6.6125 6.8240 11.2909 Å, 90.00 97.36 90.00°
Last column: nearest neighbours and their distance in Å.
Space group Cm (No. 8)
One atom of each set of equivalent atoms:
Ca 0.0000 0.0000 0.0000 [2 per cell]  1 O 2.19, 3 F 2.37
Co 0.0509 0.5000 0.0706 [2 per cell]  1 O 1.85, 3 F 2.00-2.05
Co 0.3381 0.5000 0.3688 [2 per cell]  1 O 1.95, 3 F 2.05-2.08
Co 0.3470 0.0000 0.2556 [2 per cell]  1 O 1.87, 3 F 1.95-2.01
Co 0.3475 0.0000 0.8027 [2 per cell]  1 O 1.84, 3 F 2.05
Co 0.3737 0.0000 0.5265 [2 per cell]  6 F 2.02-2.08
Co 0.4098 0.5000 0.6651 [2 per cell]  1 O 1.90, 4 F 2.03-2.10
O 0.0729 0.0000 0.8160 [2 per cell]  2 Co 1.84-1.90
O 0.1231 0.5000 0.2340 [2 per cell]  3 Co 1.85-1.95
F 0.0523 0.0000 0.2115 [2 per cell]  1 Co 1.95
F 0.0650 0.0000 0.5145 [2 per cell]  3 Co 2.03-2.10
F 0.1273 0.5000 0.9051 [2 per cell]  2 Co 2.00-2.05
F 0.1793 0.5000 0.5277 [2 per cell]  3 Co 2.02-2.19
F 0.3252 0.2062 0.0351 [4 per cell]  1 Co 2.05
F 0.3521 0.2005 0.3869 [4 per cell]  3 Co 2.01-2.08
F 0.3889 0.1936 0.6688 [4 per cell]  3 Co 2.05-2.10

Results
final energy = -99.4 eV/f.u.
spin magnetization = 12.02 μB/cell